1.
LiH2I: relaxed, GGA-PBE.

Summary:
Volume in Å³/cell: 53
DFT total energy in eV/atom: -2.122

a = 4.221 Å, b = 4.221 Å, c = 4.221 Å
α = 60.00°, β = 60.00°, γ = 60.00°
Fractional coordinates of all 4 atoms:
Li: 0.000 0.000 0.000
H: 0.250 0.250 0.250
H: 0.750 0.750 0.750
I: 0.500 0.500 0.500



2.
K3HoEr2O6: relaxed, GGA-PBE.

Summary:
Volume in Å³/cell: 193
ΔE_f (raw) in eV per atom: -2.7933

a = 5.977 Å, b = 5.977 Å, c = 6.563 Å
α = 98.73°, β = 98.73°, γ = 120.00°
Fractional coordinates of all 12 atoms:
K: 0.000 0.000 0.000
K: 0.333 0.667 0.000
K: 0.667 0.333 0.000
Ho: 0.500 0.500 0.500
Er: 0.167 0.833 0.500
Er: 0.833 0.167 0.500
O: 0.104 0.439 0.316
O: 0.227 0.227 0.684
O: 0.439 0.104 0.316
O: 0.561 0.896 0.684
O: 0.773 0.773 0.316
O: 0.896 0.561 0.684



3.
CaPrRu2O8: relaxed, GGA-PBE.

Summary:
Volume in Å³/cell: 214
ΔE_f (raw) in eV per atom: -1.5839

a = 5.945 Å, b = 5.945 Å, c = 6.995 Å
α = 90.00°, β = 90.00°, γ = 120.00°
Fractional coordinates of all 12 atoms:
Ca: 0.000 0.000 0.000
Pr: 0.000 0.000 0.500
Ru: 0.333 0.667 0.822
Ru: 0.667 0.333 0.178
O: 0.163 0.327 0.740
O: 0.163 0.837 0.740
O: 0.327 0.163 0.260
O: 0.333 0.667 0.073
O: 0.667 0.333 0.927
O: 0.673 0.837 0.740
O: 0.837 0.163 0.260
O: 0.837 0.673 0.260



4.
SiHgCl2: relaxed, GGA-PBE.

Summary:
Volume in Å³/cell: 105
ΔE_f (raw) in eV per atom: -0.2375

a = 8.365 Å, b = 8.365 Å, c = 8.365 Å
α = 26.83°, β = 26.83°, γ = 26.83°
Fractional coordinates of all 4 atoms:
Si: 0.000 0.000 0.000
Hg: 0.738 0.738 0.738
Cl: 0.278 0.278 0.278
Cl: 0.472 0.472 0.472



5.
Pm5TeSe4: relaxed, GGA-PBE.

Summary:
Volume in Å³/cell: 273
ΔE_f (raw) in eV per atom: -1.7216

a = 15.358 Å, b = 15.358 Å, c = 15.358 Å
α = 164.07°, β = 164.07°, γ = 22.60°
Fractional coordinates of all 10 atoms:
Pm: 0.000 0.000 0.000
Pm: 0.197 0.197 0.000
Pm: 0.395 0.395 0.000
Pm: 0.605 0.605 0.000
Pm: 0.803 0.803 0.000
Te: 0.500 0.500 0.000
Se: 0.100 0.100 0.000
Se: 0.297 0.297 0.000
Se: 0.703 0.703 0.000
Se: 0.900 0.900 0.000



6.
Cr2HgRu: relaxed, GGA-PBE.

Summary:
Volume in Å³/cell: 60
Energy of formation in eV per formula unit: 1.749

a = 8.685 Å, b = 8.685 Å, c = 8.685 Å
α = 18.88°, β = 18.88°, γ = 18.88°
Fractional coordinates of all 4 atoms:
Cr: 0.000 0.000 0.000
Cr: 0.269 0.269 0.269
Hg: 0.762 0.762 0.762
Ru: 0.527 0.527 0.527